Ag2PbAuN | PBE | relaxed

Results
Formation energy without anion corrections (eV per atom): 1.524
Spin magnetization (μB per formula unit): 0.36

Geometry as POSCAR:
```
Ag2PbAuN
1.0
5.1582 0.0000 0.0000
0.0000 5.1582 0.0000
0.0000 0.0000 5.4984
Ag Pb Au N
2 1 1 1
direct
0.0000 0.5000 0.0000
0.5000 0.0000 0.0000
0.0000 0.0000 0.5000
0.0000 0.0000 0.0000
0.5000 0.5000 0.5000
```

AgPtAuN2 | PBE | relaxed

Results
Formation energy without anion corrections (eV per atom): 1.902
Spin magnetization (μB per formula unit): 2.99

Geometry as POSCAR:
```
AgPtAuN2
1.0
4.0046 0.0000 0.0000
0.0000 4.0046 0.0000
0.0000 0.0000 5.4288
Ag Pt Au N
1 1 1 2
direct
0.0000 0.0000 0.0000
0.5000 0.5000 0.0000
0.5000 0.5000 0.5000
0.0000 0.5000 0.5000
0.5000 0.0000 0.5000
```

AgAuSN2 | PBE | relaxed

Results
Distance to the lowest polymorph of the same formula (eV/atom): 0.0000
Formation energy without anion corrections (eV per atom): 1.697
Spin magnetization (μB per formula unit): 3.87

Geometry as POSCAR:
```
AgAuSN2
1.0
3.9326 0.0000 0.0000
0.0000 3.9326 0.0000
0.0000 0.0000 6.2674
Ag Au S N
1 1 1 2
direct
0.0000 0.0000 0.0000
0.5000 0.5000 0.5000
0.5000 0.5000 0.0000
0.0000 0.5000 0.5000
0.5000 0.0000 0.5000
```

AgAuSN2 | PBE | relaxed

Results
Distance to the lowest polymorph of the same formula (eV/atom): 0.2212
Formation energy without anion corrections (eV per atom): 1.918
Spin magnetization (μB per formula unit): 3.88

Geometry as POSCAR:
```
AgAuSN2
1.0
3.9611 0.0000 0.0000
0.0000 3.9611 0.0000
0.0000 0.0000 6.0232
Ag Au S N
1 1 1 2
direct
0.0000 0.0000 0.0000
0.5000 0.5000 0.5000
0.0000 0.0000 0.5000
0.0000 0.5000 0.0000
0.5000 0.0000 0.0000
```